Compound: KHfAsPd2
Source: Alexandria via LeMat-Bulk
Functional: PBE
Structure: relaxed

POSCAR file:
```
KHfAsPd2
1.0
4.6734 0.0000 0.0000
0.0000 4.6734 0.0000
0.0000 0.0000 5.5065
As Hf K Pd
1 1 1 2
direct
0.0000 0.0000 0.5000
0.5000 0.5000 0.5000
0.0000 0.0000 0.0000
0.0000 0.5000 0.0000
0.5000 0.0000 0.0000
```

Results
- Calculated formation energy: 1.3474 eV per atom